Record 1
A plane-wave DFT calculation with PBE was carried out for a geometry-optimized SnW4Se8 structure.

```
data_SnW4Se8
_chemical_formula_sum 'Sn3 W12 Se24'
_space_group_name_H-M_alt 'R -3 m'
_space_group_IT_number 166
_space_group_name_Hall '-R 3 2"'
_cell_length_a 6.6640
_cell_length_b 6.6640
_cell_length_c 24.5201
_cell_angle_alpha 90.00
_cell_angle_beta 90.00
_cell_angle_gamma 120.00
loop_
_atom_site_label
_atom_site_fract_x
_atom_site_fract_y
_atom_site_fract_z
Sn1 0.0000 0.0000 0.0000
W1 0.0000 0.0000 0.5000
W2 0.0000 0.5000 0.5000
Se1 0.0000 0.0000 0.2363
Se2 0.0010 0.5005 0.7633
```

For the calculated volume, the calculation gives 943 Å³/cell. The energy relative to the elements, uncorrected comes out at -0.1756 eV per atom.


Record 2
A plane-wave DFT calculation with PBE was carried out for a geometry-optimized KTl2Ru structure.

```
data_KTl2Ru
_chemical_formula_sum 'K4 Tl8 Ru4'
_space_group_name_H-M_alt 'F m -3 m'
_space_group_IT_number 225
_space_group_name_Hall '-F 4 2 3'
_cell_length_a 7.2679
_cell_length_b 7.2679
_cell_length_c 7.2679
_cell_angle_alpha 90.00
_cell_angle_beta 90.00
_cell_angle_gamma 90.00
loop_
_atom_site_label
_atom_site_fract_x
_atom_site_fract_y
_atom_site_fract_z
K1 0.0000 0.0000 0.0000
Tl1 0.2500 0.2500 0.2500
Ru1 0.0000 0.0000 0.5000
```

For the calculated volume, the calculation gives 384 Å³/cell. The value obtained for the formation enthalpy at 0 K is 2.45 eV per formula unit.


Record 3
A plane-wave DFT calculation with PBE was carried out for a geometry-optimized LiCeDyS4 structure.

```
data_LiCeDyS4
_chemical_formula_sum 'Li4 Ce4 Dy4 S16'
_space_group_name_H-M_alt 'I m m a'
_space_group_IT_number 74
_space_group_name_Hall '-I 2b 2'
_cell_length_a 7.8596
_cell_length_b 8.1623
_cell_length_c 11.2474
_cell_angle_alpha 90.00
_cell_angle_beta 90.00
_cell_angle_gamma 90.00
loop_
_atom_site_label
_atom_site_fract_x
_atom_site_fract_y
_atom_site_fract_z
Li1 0.0000 0.2500 0.1338
Ce1 0.0000 0.0000 0.5000
Dy1 0.2500 0.2500 0.7500
S1 0.0000 0.0162 0.7416
S2 0.2342 0.2500 0.5058
```

For the calculated volume, the calculation gives 722 Å³/cell. The energy relative to the elements, uncorrected comes out at -1.7819 eV per atom.


> The lowest calculated volume belongs to which entry?

KTl2Ru